Entry 1:
# Ta2SnMo meta-GGA SCAN single point on PBEsol structure
# Energy (eV/atom): -50.811
data_Ta2SnMo
_symmetry_space_group_name_H-M 'P 1'
_symmetry_Int_Tables_number 1
_symmetry_space_group_name_Hall 'P 1'
_cell_length_a 4.633
_cell_length_b 4.633
_cell_length_c 4.633
_cell_angle_alpha 60.00
_cell_angle_beta 60.00
_cell_angle_gamma 60.00
loop_
_atom_site_label
_atom_site_type_symbol
_atom_site_fract_x
_atom_site_fract_y
_atom_site_fract_z
Mo1 Mo 0.000 0.000 0.000
Sn1 Sn 0.500 0.500 0.500
Ta1 Ta 0.250 0.250 0.250
Ta2 Ta 0.750 0.750 0.750

Entry 2:
# Tc3SnMo meta-GGA SCAN single point on PBEsol structure
# Energy (eV/atom): -32.795
data_Tc3SnMo
_symmetry_space_group_name_H-M 'P 1'
_symmetry_Int_Tables_number 1
_symmetry_space_group_name_Hall 'P 1'
_cell_length_a 4.670
_cell_length_b 4.670
_cell_length_c 4.670
_cell_angle_alpha 90.00
_cell_angle_beta 90.00
_cell_angle_gamma 90.00
loop_
_atom_site_label
_atom_site_type_symbol
_atom_site_fract_x
_atom_site_fract_y
_atom_site_fract_z
Sn1 Sn 0.000 0.000 0.000
Mo1 Mo 0.500 0.500 0.500
Tc1 Tc 0.000 0.000 0.500
Tc2 Tc 0.000 0.500 0.000
Tc3 Tc 0.500 0.000 0.000

Entry 3:
# Sn2Te2Mo meta-GGA SCAN single point on PBEsol structure
# Energy relative to the elements, uncorrected (eV per atom): 0.80
data_Sn2Te2Mo
_symmetry_space_group_name_H-M 'P 1'
_symmetry_Int_Tables_number 1
_symmetry_space_group_name_Hall 'P 1'
_cell_length_a 3.895
_cell_length_b 3.895
_cell_length_c 9.565
_cell_angle_alpha 101.75
_cell_angle_beta 101.75
_cell_angle_gamma 90.00
loop_
_atom_site_label
_atom_site_type_symbol
_atom_site_fract_x
_atom_site_fract_y
_atom_site_fract_z
Sn1 Sn 0.578 0.578 0.156
Sn2 Sn 0.422 0.422 0.844
Te1 Te 0.250 0.750 0.500
Te2 Te 0.750 0.250 0.500
Mo1 Mo 0.000 0.000 0.000

Entry 4:
# TiSn2TeMo meta-GGA SCAN single point on PBEsol structure
# Energy relative to the elements, uncorrected (eV per atom): 0.84
data_TiSn2TeMo
_symmetry_space_group_name_H-M 'P 1'
_symmetry_Int_Tables_number 1
_symmetry_space_group_name_Hall 'P 1'
_cell_length_a 4.495
_cell_length_b 5.257
_cell_length_c 5.257
_cell_angle_alpha 90.00
_cell_angle_beta 90.00
_cell_angle_gamma 90.00
loop_
_atom_site_label
_atom_site_type_symbol
_atom_site_fract_x
_atom_site_fract_y
_atom_site_fract_z
Te1 Te 0.500 0.500 0.500
Mo1 Mo 0.500 0.000 0.000
Ti1 Ti 0.000 0.000 0.000
Sn1 Sn 0.000 0.000 0.500
Sn2 Sn 0.000 0.500 0.000

Entry 5:
# Ti3SnMo meta-GGA SCAN single point on PBEsol structure
# Energy (eV/atom): -22.333
data_Ti3SnMo
_symmetry_space_group_name_H-M 'P 1'
_symmetry_Int_Tables_number 1
_symmetry_space_group_name_Hall 'P 1'
_cell_length_a 4.828
_cell_length_b 4.828
_cell_length_c 4.828
_cell_angle_alpha 90.00
_cell_angle_beta 90.00
_cell_angle_gamma 90.00
loop_
_atom_site_label
_atom_site_type_symbol
_atom_site_fract_x
_atom_site_fract_y
_atom_site_fract_z
Ti1 Ti 0.000 0.500 0.000
Ti2 Ti 0.000 0.000 0.500
Ti3 Ti 0.500 0.000 0.000
Sn1 Sn 0.000 0.000 0.000
Mo1 Mo 0.500 0.500 0.500

Entry 6:
# TlSn3Mo meta-GGA SCAN single point on PBEsol structure
# Energy (eV/atom): -42.731
data_TlSn3Mo
_symmetry_space_group_name_H-M 'P 1'
_symmetry_Int_Tables_number 1
_symmetry_space_group_name_Hall 'P 1'
_cell_length_a 5.226
_cell_length_b 5.226
_cell_length_c 5.226
_cell_angle_alpha 90.00
_cell_angle_beta 90.00
_cell_angle_gamma 90.00
loop_
_atom_site_label
_atom_site_type_symbol
_atom_site_fract_x
_atom_site_fract_y
_atom_site_fract_z
Sn1 Sn 0.000 0.000 0.500
Sn2 Sn 0.000 0.500 0.000
Sn3 Sn 0.500 0.000 0.000
Tl1 Tl 0.500 0.500 0.500
Mo1 Mo 0.000 0.000 0.000

Entry 7:
# Tl2SnMo meta-GGA SCAN single point on PBEsol structure
# Energy (eV/atom): -53.030
data_Tl2SnMo
_symmetry_space_group_name_H-M 'P 1'
_symmetry_Int_Tables_number 1
_symmetry_space_group_name_Hall 'P 1'
_cell_length_a 5.107
_cell_length_b 5.107
_cell_length_c 5.107
_cell_angle_alpha 60.00
_cell_angle_beta 60.00
_cell_angle_gamma 60.00
loop_
_atom_site_label
_atom_site_type_symbol
_atom_site_fract_x
_atom_site_fract_y
_atom_site_fract_z
Tl1 Tl 0.750 0.750 0.750
Tl2 Tl 0.250 0.250 0.250
Mo1 Mo 0.000 0.000 0.000
Sn1 Sn 0.500 0.500 0.500

Entry 8:
# Tl3SnMo meta-GGA SCAN single point on PBEsol structure
# Energy (eV/atom): -56.376
data_Tl3SnMo
_symmetry_space_group_name_H-M 'P 1'
_symmetry_Int_Tables_number 1
_symmetry_space_group_name_Hall 'P 1'
_cell_length_a 5.581
_cell_length_b 5.581
_cell_length_c 5.581
_cell_angle_alpha 90.00
_cell_angle_beta 90.00
_cell_angle_gamma 90.00
loop_
_atom_site_label
_atom_site_type_symbol
_atom_site_fract_x
_atom_site_fract_y
_atom_site_fract_z
Tl1 Tl 0.000 0.000 0.500
Tl2 Tl 0.000 0.500 0.000
Tl3 Tl 0.500 0.000 0.000
Mo1 Mo 0.500 0.500 0.500
Sn1 Sn 0.000 0.000 0.000

Entry 9:
# YSn2Mo2 meta-GGA SCAN single point on PBEsol structure
# Energy (eV/atom): -33.926
data_YSn2Mo2
_symmetry_space_group_name_H-M 'P 1'
_symmetry_Int_Tables_number 1
_symmetry_space_group_name_Hall 'P 1'
_cell_length_a 4.006
_cell_length_b 4.006
_cell_length_c 7.123
_cell_angle_alpha 106.33
_cell_angle_beta 106.33
_cell_angle_gamma 90.00
loop_
_atom_site_label
_atom_site_type_symbol
_atom_site_fract_x
_atom_site_fract_y
_atom_site_fract_z
Sn1 Sn 0.392 0.392 0.785
Sn2 Sn 0.608 0.608 0.215
Y1 Y 0.000 0.000 0.000
Mo1 Mo 0.250 0.750 0.500
Mo2 Mo 0.750 0.250 0.500

Entry 10:
# Zn3SnMo meta-GGA SCAN single point on PBEsol structure
# Energy (eV/atom): -20.952
data_Zn3SnMo
_symmetry_space_group_name_H-M 'P 1'
_symmetry_Int_Tables_number 1
_symmetry_space_group_name_Hall 'P 1'
_cell_length_a 4.942
_cell_length_b 4.942
_cell_length_c 4.942
_cell_angle_alpha 90.00
_cell_angle_beta 90.00
_cell_angle_gamma 90.00
loop_
_atom_site_label
_atom_site_type_symbol
_atom_site_fract_x
_atom_site_fract_y
_atom_site_fract_z
Zn1 Zn 0.500 0.000 0.000
Zn2 Zn 0.000 0.500 0.000
Zn3 Zn 0.000 0.000 0.500
Mo1 Mo 0.500 0.500 0.500
Sn1 Sn 0.000 0.000 0.000

Entry 11:
# ZnSnMo3 meta-GGA SCAN single point on PBEsol structure
# Energy (eV/atom): -28.438
data_ZnSnMo3
_symmetry_space_group_name_H-M 'P 1'
_symmetry_Int_Tables_number 1
_symmetry_space_group_name_Hall 'P 1'
_cell_length_a 4.832
_cell_length_b 4.832
_cell_length_c 4.832
_cell_angle_alpha 90.00
_cell_angle_beta 90.00
_cell_angle_gamma 90.00
loop_
_atom_site_label
_atom_site_type_symbol
_atom_site_fract_x
_atom_site_fract_y
_atom_site_fract_z
Mo1 Mo 0.000 0.500 0.000
Mo2 Mo 0.000 0.000 0.500
Mo3 Mo 0.500 0.000 0.000
Zn1 Zn 0.500 0.500 0.500
Sn1 Sn 0.000 0.000 0.000

Entry 12:
# SrMo meta-GGA SCAN single point on PBEsol structure
# Energy relative to the lowest polymorph listed for this composition (eV per atom): 0.181
data_SrMo
_symmetry_space_group_name_H-M 'P 1'
_symmetry_Int_Tables_number 1
_symmetry_space_group_name_Hall 'P 1'
_cell_length_a 4.963
_cell_length_b 4.963
_cell_length_c 4.963
_cell_angle_alpha 68.45
_cell_angle_beta 68.45
_cell_angle_gamma 68.45
loop_
_atom_site_label
_atom_site_type_symbol
_atom_site_fract_x
_atom_site_fract_y
_atom_site_fract_z
Mo1 Mo 0.907 0.907 0.907
Mo2 Mo 0.093 0.093 0.093
Sr1 Sr 0.641 0.641 0.641
Sr2 Sr 0.359 0.359 0.359

Entry 13:
# SrMo meta-GGA SCAN single point on PBEsol structure
# Energy relative to the lowest polymorph listed for this composition (eV per atom): 0.175
data_SrMo
_symmetry_space_group_name_H-M 'P 1'
_symmetry_Int_Tables_number 1
_symmetry_space_group_name_Hall 'P 1'
_cell_length_a 3.438
_cell_length_b 3.438
_cell_length_c 10.694
_cell_angle_alpha 80.75
_cell_angle_beta 80.75
_cell_angle_gamma 60.00
loop_
_atom_site_label
_atom_site_type_symbol
_atom_site_fract_x
_atom_site_fract_y
_atom_site_fract_z
Sr1 Sr 0.608 0.608 0.177
Sr2 Sr 0.392 0.392 0.823
Mo1 Mo 0.857 0.857 0.429
Mo2 Mo 0.143 0.143 0.571

Entry 14:
# SrMo2 meta-GGA SCAN single point on PBEsol structure
# Energy relative to the lowest polymorph listed for this composition (eV per atom): 0.000
data_SrMo2
_symmetry_space_group_name_H-M 'P 1'
_symmetry_Int_Tables_number 1
_symmetry_space_group_name_Hall 'P 1'
_cell_length_a 3.273
_cell_length_b 3.273
_cell_length_c 6.461
_cell_angle_alpha 104.67
_cell_angle_beta 104.67
_cell_angle_gamma 90.00
loop_
_atom_site_label
_atom_site_type_symbol
_atom_site_fract_x
_atom_site_fract_y
_atom_site_fract_z
Mo1 Mo 0.704 0.704 0.407
Mo2 Mo 0.296 0.296 0.593
Sr1 Sr 0.000 0.000 0.000

Entry 15:
# SrMo3 meta-GGA SCAN single point on PBEsol structure
# Energy relative to the lowest polymorph listed for this composition (eV per atom): 0.120
data_SrMo3
_symmetry_space_group_name_H-M 'P 1'
_symmetry_Int_Tables_number 1
_symmetry_space_group_name_Hall 'P 1'
_cell_length_a 2.691
_cell_length_b 5.599
_cell_length_c 5.599
_cell_angle_alpha 117.48
_cell_angle_beta 99.22
_cell_angle_gamma 99.22
loop_
_atom_site_label
_atom_site_type_symbol
_atom_site_fract_x
_atom_site_fract_y
_atom_site_fract_z
Mo1 Mo 0.000 0.500 0.000
Mo2 Mo 0.000 0.000 0.500
Mo3 Mo 0.500 0.500 0.500
Sr1 Sr 0.500 0.000 0.000